No. 1
VASP calculation (PBE) on crystalline LiAc2ErSe4 at its relaxed geometry.

Summary:
total magnetization: 0.00 Bohr magnetons per cell
SG: P2/m, No. 10
volume: 218 Å³/cell
uncorrected formation energy: -1339.8 kJ/mol of formula units

```
LiAc2ErSe4
1.0
7.3285 0.0000 0.0000
0.0000 4.2643 0.0000
-2.4703 0.0000 6.9631
Li Ac Er Se
1 2 1 4
Direct
0.0000 0.0000 0.0000 Li
0.5000 0.0000 0.5000 Ac
0.5000 0.5000 0.0000 Ac
0.0000 0.5000 0.5000 Er
0.2177 0.0000 0.7418 Se
0.2192 0.5000 0.2399 Se
0.7808 0.5000 0.7601 Se
0.7823 0.0000 0.2582 Se
```

***

No. 2
VASP calculation (PBE) on crystalline ZrCdFe2Sn at its relaxed geometry.

Summary:
total magnetization: 0.27 Bohr magnetons per cell
SG: P4/mmm, No. 123
energy relative to the elements: 1.363 eV per atom
volume: 109 Å³/cell

```
ZrCdFe2Sn
1.0
4.6550 0.0000 0.0000
0.0000 4.6550 0.0000
0.0000 0.0000 5.0144
Zr Cd Fe Sn
1 1 2 1
Direct
0.0000 0.0000 0.0000 Zr
0.5000 0.5000 0.0000 Cd
0.0000 0.5000 0.5000 Fe
0.5000 0.0000 0.5000 Fe
0.5000 0.5000 0.5000 Sn
```

***

No. 3
VASP calculation (PBE) on crystalline YTl2Zn at its relaxed geometry.

Summary:
total magnetization: 0.19 Bohr magnetons per cell
SG: P4mm, No. 99
energy relative to the elements: -0.110 eV per atom
volume: 103 Å³/cell

```
YTl2Zn
1.0
3.7007 0.0000 0.0000
0.0000 3.7007 0.0000
0.0000 0.0000 7.5431
Y Tl Zn
1 2 1
Direct
0.0000 0.0000 0.0000 Y
0.0000 0.0000 0.4460 Tl
0.5000 0.5000 0.7258 Tl
0.5000 0.5000 0.2152 Zn
```

***

No. 4
VASP calculation (PBE) on crystalline Ni3H8Pd2 at its relaxed geometry.

Summary:
total energy: -54.67 eV per cell
total magnetization: 0.00 Bohr magnetons per cell
SG: C2/m, No. 12
volume: 94 Å³/cell

```
Ni3H8Pd2
1.0
4.3262 -2.5497 0.0000
4.3262 2.5497 0.0000
-1.4378 0.0000 4.2417
Ni H Pd
3 8 2
Direct
0.0000 0.0000 0.0000 Ni
0.2485 0.7515 0.5000 Ni
0.7515 0.2485 0.5000 Ni
0.1004 0.6619 0.1102 H
0.1081 0.1081 0.3975 H
0.3381 0.8996 0.8898 H
0.3865 0.3865 0.5304 H
0.6135 0.6135 0.4696 H
0.6619 0.1004 0.1102 H
0.8919 0.8919 0.6025 H
0.8996 0.3381 0.8898 H
0.2959 0.2959 0.8434 Pd
0.7041 0.7041 0.1566 Pd
```

***

No. 5
VASP calculation (PBE) on crystalline Nd2In at its relaxed geometry.

Summary:
total magnetization: 0.00 Bohr magnetons per cell
SG: Pnma, No. 62
energy relative to the elements: -0.349 eV per atom
volume: 377 Å³/cell

```
Nd2In
1.0
6.9004 0.0000 0.0000
0.0000 5.3748 0.0000
0.0000 0.0000 10.1589
Nd In
8 4
Direct
0.0314 0.2500 0.2101 Nd
0.1942 0.2500 0.5731 Nd
0.3058 0.7500 0.0731 Nd
0.4686 0.7500 0.7101 Nd
0.5314 0.2500 0.2899 Nd
0.6942 0.2500 0.9269 Nd
0.8058 0.7500 0.4269 Nd
0.9686 0.7500 0.7899 Nd
0.2147 0.2500 0.8950 In
0.2853 0.7500 0.3950 In
0.7147 0.2500 0.6050 In
0.7853 0.7500 0.1050 In
```

***

No. 6
VASP calculation (PBE) on crystalline Pr3Ho2Se6 at its relaxed geometry.

Summary:
total magnetization: 0.00 Bohr magnetons per cell
SG: R-3m, No. 166
volume: 317 Å³/cell
uncorrected formation energy: -1930.6 kJ/mol of formula units

```
Pr3Ho2Se6
1.0
2.0922 1.2079 20.8784
-2.0922 1.2079 20.8784
0.0000 -2.4158 20.8784
Pr Ho Se
3 2 6
Direct
0.0000 0.0000 0.0000 Pr
0.2770 0.2770 0.2770 Pr
0.7230 0.7230 0.7230 Pr
0.4486 0.4486 0.4486 Ho
0.5514 0.5514 0.5514 Ho
0.0862 0.0862 0.0862 Se
0.1967 0.1967 0.1967 Se
0.3618 0.3618 0.3618 Se
0.6382 0.6382 0.6382 Se
0.8033 0.8033 0.8033 Se
0.9138 0.9138 0.9138 Se
```

***

No. 7
VASP calculation (PBE) on crystalline AgIr2Au at its relaxed geometry.

Summary:
total magnetization: 0.00 Bohr magnetons per cell
SG: Cmmm, No. 65
energy relative to the elements: 0.454 eV per atom
volume: 65 Å³/cell

```
AgIr2Au
1.0
1.3875 -2.4022 0.0000
1.3875 2.4022 0.0000
0.0000 0.0000 9.7665
Ag Ir Au
1 2 1
Direct
0.0000 0.0000 0.0000 Ag
0.5000 0.5000 0.2499 Ir
0.5000 0.5000 0.7501 Ir
0.0000 0.0000 0.5000 Au
```

***

No. 8
VASP calculation (PBE) on crystalline Nd4Ag3Ru at its relaxed geometry.

Summary:
total magnetization: 0.00 Bohr magnetons per cell
SG: P4/mmm, No. 123
energy relative to the elements: -0.238 eV per atom
volume: 202 Å³/cell

```
Nd4Ag3Ru
1.0
3.6085 0.0000 0.0000
0.0000 3.6085 0.0000
0.0000 0.0000 15.4788
Nd Ag Ru
4 3 1
Direct
0.0000 0.0000 0.1105 Nd
0.0000 0.0000 0.3715 Nd
0.0000 0.0000 0.6285 Nd
0.0000 0.0000 0.8895 Nd
0.5000 0.5000 0.2443 Ag
0.5000 0.5000 0.5000 Ag
0.5000 0.5000 0.7557 Ag
0.5000 0.5000 0.0000 Ru
```